Entry 1:
Computed, not measured: a relaxed structure of SmDy2Sc8 at the PBE-GGA level of DFT.

Computed properties:
ΔH_f (0 K) (meV per atom): 137
Symmetry: C2/m

Cell lengths 5.4828, 8.7412, 9.1886 Å; angles 61.60, 72.67, 51.22 degrees
Positions (direct):
1 Sc 0.7733 0.3571 0.7402
2 Sc 0.7733 0.0974 0.2598
3 Sc 0.2267 0.6429 0.2598
4 Sc 0.7552 0.5014 0.0000
5 Sc 0.5000 0.7977 0.4047
6 Sc 0.5000 0.2023 0.5953
7 Sc 0.2448 0.4986 0.0000
8 Sc 0.2267 0.9026 0.7402
9 Sm 0.5000 0.0000 0.0000
10 Dy 0.0000 0.3098 0.3804
11 Dy 0.0000 0.6902 0.6196

Entry 2:
Computed, not measured: a relaxed structure of Sm8Dy2Sc at the PBE-GGA level of DFT.

Computed properties:
ΔH_f (0 K) (meV per atom): 114
Symmetry: Immm
Distance to the lowest polymorph of the same formula (meV/atom): 0

Cell lengths 5.6474, 7.9736, 9.4232 Å; angles 115.03, 107.44, 90.00 degrees
Positions (direct):
1 Dy 0.1999 0.6999 0.3998
2 Dy 0.8001 0.3001 0.6002
3 Sm 0.0000 0.2825 0.0000
4 Sm 0.3685 0.1596 0.7369
5 Sm 0.8331 0.8331 0.6662
6 Sm 0.6315 0.8404 0.2631
7 Sm 0.6315 0.4226 0.2631
8 Sm 0.0000 0.7175 0.0000
9 Sm 0.3685 0.5774 0.7369
10 Sm 0.1669 0.1669 0.3338
11 Sc 0.5000 0.0000 0.0000

Entry 3:
Computed, not measured: a relaxed structure of SmDy4Sc2 at the PBE-GGA level of DFT.

Computed properties:
ΔH_f (0 K) (meV per atom): 216
Symmetry: P2/m
Distance to the lowest polymorph of the same formula (meV/atom): 74

Cell lengths 11.1111, 7.8574, 10.5142 Å; angles 41.76, 58.16, 44.99 degrees
Positions (direct):
1 Dy 0.7214 0.8137 0.7436
2 Dy 0.2785 0.7007 0.7424
3 Dy 0.2785 0.7423 0.2576
4 Dy 0.7214 0.7434 0.2564
5 Dy 0.7215 0.2577 0.7424
6 Dy 0.7215 0.2993 0.2576
7 Dy 0.2786 0.2566 0.7436
8 Dy 0.2786 0.1863 0.2564
9 Sc 0.0000 0.5000 0.5000
10 Sc 0.5000 0.0000 0.5000
11 Sc 0.0000 0.0000 0.0000
12 Sc 0.0000 0.0000 0.5000
13 Sm 0.5000 0.5000 0.0000
14 Sm 0.0000 0.5000 0.0000

Entry 4:
Computed, not measured: a relaxed structure of Sm2Dy6Sc at the PBE-GGA level of DFT.

Computed properties:
ΔH_f (0 K) (meV per atom): 199
Symmetry: C2/m
Distance to the lowest polymorph of the same formula (meV/atom): 98

Cell lengths 3.4416, 9.8228, 10.0568 Å; angles 119.23, 99.68, 90.00 degrees
Positions (direct):
1 Dy 0.5000 0.3011 0.0000
2 Dy 0.1638 0.3491 0.3290
3 Dy 0.8362 0.0201 0.6710
4 Dy 0.5000 0.6989 0.0000
5 Dy 0.1638 0.9799 0.3290
6 Dy 0.8362 0.6509 0.6710
7 Sm 0.3343 0.3336 0.6671
8 Sm 0.6657 0.6664 0.3329
9 Sc 0.0000 0.0000 0.0000

Entry 5:
Computed, not measured: a relaxed structure of SmDy4Sc7 at the PBE-GGA level of DFT.

Computed properties:
ΔH_f (0 K) (meV per atom): 269
Symmetry: C2/m

Cell lengths 5.5494, 11.1912, 6.3281 Å; angles 85.38, 63.99, 75.64 degrees
Positions (direct):
1 Dy 0.2909 0.3002 0.1180
2 Dy 0.7091 0.6998 0.8820
3 Dy 0.3629 0.7742 0.5001
4 Dy 0.6371 0.2258 0.4999
5 Sm 0.0000 0.0000 0.0000
6 Sc 0.9632 0.3775 0.6962
7 Sc 0.5000 0.0000 0.0000
8 Sc 0.2085 0.0834 0.4996
9 Sc 0.6438 0.4839 0.2285
10 Sc 0.0368 0.6225 0.3038
11 Sc 0.7915 0.9166 0.5004
12 Sc 0.3562 0.5161 0.7715

Entry 6:
Computed, not measured: a relaxed structure of Sm12Dy2Sc at the PBE-GGA level of DFT.

Computed properties:
ΔH_f (0 K) (meV per atom): 168
Symmetry: Cmme

Cell lengths 6.7482, 6.7482, 24.6287 Å; angles 90.00, 90.00, 116.02 degrees
Positions (direct):
1 Sm 0.5000 0.5000 0.8034
2 Sm 0.7510 0.7490 0.9276
3 Sm 0.0000 0.0000 0.1966
4 Sm 0.2510 0.2490 0.0724
5 Sm 0.2511 0.7511 0.8758
6 Sm 0.7318 0.2318 0.4133
7 Sm 0.0000 0.0000 0.3238
8 Sm 0.5000 0.5000 0.3238
9 Sm 0.7489 0.2489 0.8758
10 Sm 0.2490 0.2510 0.9276
11 Sm 0.2268 0.2732 0.4393
12 Sm 0.7268 0.7732 0.5607
13 Sm 0.2732 0.2268 0.5607
14 Sm 0.0000 0.0000 0.8034
15 Sm 0.0000 0.0000 0.6762
16 Sm 0.7490 0.7510 0.0724
17 Sm 0.7732 0.7268 0.4393
18 Sm 0.2318 0.7318 0.5867
19 Sm 0.5000 0.5000 0.1966
20 Sm 0.5000 0.5000 0.6762
21 Sm 0.2682 0.7682 0.4133
22 Sm 0.7511 0.2511 0.1242
23 Sm 0.7682 0.2682 0.5867
24 Sm 0.2489 0.7489 0.1242
25 Dy 0.0000 0.5000 0.2680
26 Dy 0.5000 0.0000 0.7320
27 Dy 0.0000 0.5000 0.7367
28 Dy 0.5000 0.0000 0.2633
29 Sc 0.0000 0.5000 0.0003
30 Sc 0.5000 0.0000 0.9997

Entry 7:
Computed, not measured: a relaxed structure of Sm7Dy4Sc at the PBE-GGA level of DFT.

Computed properties:
ΔH_f (0 K) (meV per atom): 267
Symmetry: C2/m
Distance to the lowest polymorph of the same formula (meV/atom): 250

Cell lengths 5.9148, 11.6916, 6.6661 Å; angles 83.83, 63.66, 75.35 degrees
Positions (direct):
1 Dy 0.7751 0.6723 0.7775
2 Dy 0.3550 0.7763 0.5138
3 Dy 0.2249 0.3277 0.2225
4 Dy 0.6450 0.2237 0.4862
5 Sm 0.2076 0.0758 0.5090
6 Sm 0.5000 0.0000 0.0000
7 Sm 0.7924 0.9242 0.4910
8 Sm 0.6321 0.5028 0.2330
9 Sm 0.3679 0.4972 0.7670
10 Sm 0.9306 0.3053 0.8336
11 Sm 0.0694 0.6947 0.1664
12 Sc 0.0000 0.0000 0.0000

Entry 8:
Computed, not measured: a relaxed structure of SmDy9Sc2 at the PBE-GGA level of DFT.

Computed properties:
ΔH_f (0 K) (meV per atom): 37
Symmetry: P4/mmm

Cell lengths 4.9597, 4.9597, 14.8428 Å; angles 90.00, 90.00, 90.00 degrees
Positions (direct):
1 Dy 0.5000 0.0000 0.8277
2 Dy 0.0000 0.5000 0.8277
3 Dy 0.5000 0.0000 0.1723
4 Dy 0.0000 0.5000 0.1723
5 Dy 0.5000 0.0000 0.5000
6 Dy 0.0000 0.5000 0.5000
7 Dy 0.5000 0.5000 0.6629
8 Dy 0.5000 0.5000 0.0000
9 Dy 0.5000 0.5000 0.3371
10 Sc 0.0000 0.0000 0.6641
11 Sc 0.0000 0.0000 0.3359
12 Sm 0.0000 0.0000 0.0000

Entry 9:
Computed, not measured: a relaxed structure of SmDy6Sc12 at the PBE-GGA level of DFT.

Computed properties:
ΔH_f (0 K) (meV per atom): 501
Symmetry: R-3m

Cell lengths 8.3413, 8.3413, 8.3413 Å; angles 100.18, 100.18, 100.18 degrees
Positions (direct):
1 Sm 0.0000 0.0000 0.0000
2 Sc 0.5000 0.1145 0.8855
3 Sc 0.4544 0.1642 0.4544
4 Sc 0.4544 0.4544 0.1642
5 Sc 0.8358 0.5456 0.5456
6 Sc 0.1145 0.8855 0.5000
7 Sc 0.8855 0.1145 0.5000
8 Sc 0.1145 0.5000 0.8855
9 Sc 0.1642 0.4544 0.4544
10 Sc 0.5000 0.8855 0.1145
11 Sc 0.5456 0.5456 0.8358
12 Sc 0.5456 0.8358 0.5456
13 Sc 0.8855 0.5000 0.1145
14 Dy 0.7382 0.2226 0.2226
15 Dy 0.7774 0.7774 0.2618
16 Dy 0.7774 0.2618 0.7774
17 Dy 0.2618 0.7774 0.7774
18 Dy 0.2226 0.7382 0.2226
19 Dy 0.2226 0.2226 0.7382

Entry 10:
Computed, not measured: a relaxed structure of SmDy15Sc4 at the PBE-GGA level of DFT.

Computed properties:
ΔH_f (0 K) (meV per atom): 36
Symmetry: P4/mmm

Cell lengths 4.9408, 4.9408, 24.6225 Å; angles 90.00, 90.00, 90.00 degrees
Positions (direct):
1 Dy 0.5000 0.5000 0.7963
2 Dy 0.0000 0.5000 0.1041
3 Dy 0.5000 0.0000 0.5000
4 Dy 0.5000 0.5000 0.4011
5 Dy 0.0000 0.5000 0.6979
6 Dy 0.5000 0.5000 0.5989
7 Dy 0.5000 0.0000 0.3021
8 Dy 0.5000 0.5000 0.2037
9 Dy 0.5000 0.0000 0.1041
10 Dy 0.5000 0.5000 0.0000
11 Dy 0.0000 0.5000 0.3021
12 Dy 0.5000 0.0000 0.6979
13 Dy 0.5000 0.0000 0.8959
14 Dy 0.0000 0.5000 0.5000
15 Dy 0.0000 0.5000 0.8959
16 Sm 0.0000 0.0000 0.0000
17 Sc 0.0000 0.0000 0.2030
18 Sc 0.0000 0.0000 0.7970
19 Sc 0.0000 0.0000 0.4010
20 Sc 0.0000 0.0000 0.5990

Entry 11:
Computed, not measured: a relaxed structure of Sm6Dy8Sc at the PBE-GGA level of DFT.

Computed properties:
ΔH_f (0 K) (meV per atom): 192
Symmetry: R-3
Distance to the lowest polymorph of the same formula (meV/atom): 76

Cell lengths 9.6749, 9.6749, 8.1552 Å; angles 53.62, 53.62, 60.00 degrees
Positions (direct):
1 Sc 0.0000 0.0000 0.0000
2 Dy 0.5852 0.5852 0.2444
3 Dy 0.0742 0.6476 0.5088
4 Dy 0.3524 0.2306 0.4912
5 Dy 0.7694 0.0742 0.5088
6 Dy 0.4148 0.4148 0.7556
7 Dy 0.2306 0.9258 0.4912
8 Dy 0.9258 0.3524 0.4912
9 Dy 0.6476 0.7694 0.5088
10 Sm 0.0760 0.2805 0.0316
11 Sm 0.2805 0.6119 0.0316
12 Sm 0.7195 0.3881 0.9684
13 Sm 0.6119 0.0760 0.0316
14 Sm 0.3881 0.9240 0.9684
15 Sm 0.9240 0.7195 0.9684

Entry 12:
Computed, not measured: a relaxed structure of SmDy12Sc7 at the PBE-GGA level of DFT.

Computed properties:
ΔH_f (0 K) (meV per atom): 262
Symmetry: R-3m
Distance to the lowest polymorph of the same formula (meV/atom): 0

Cell lengths 9.6843, 9.6843, 9.6843 Å; angles 112.77, 112.77, 112.77 degrees
Positions (direct):
1 Dy 0.9118 0.5806 0.5807
2 Dy 0.2831 0.7169 0.0000
3 Dy 0.0000 0.2831 0.7169
4 Dy 0.0882 0.4194 0.4193
5 Dy 0.7169 0.0000 0.2831
6 Dy 0.7169 0.2831 0.0000
7 Dy 0.5807 0.9118 0.5806
8 Dy 0.0000 0.7169 0.2831
9 Dy 0.4194 0.4193 0.0882
10 Dy 0.4193 0.0882 0.4194
11 Dy 0.5806 0.5807 0.9118
12 Dy 0.2831 0.0000 0.7169
13 Sc 0.8391 0.8391 0.5034
14 Sc 0.1609 0.1609 0.4966
15 Sc 0.4966 0.1609 0.1609
16 Sc 0.5000 0.5000 0.5000
17 Sc 0.1609 0.4966 0.1609
18 Sc 0.5034 0.8391 0.8391
19 Sc 0.8391 0.5034 0.8391
20 Sm 0.0000 0.0000 0.0000

Entry 13:
Computed, not measured: a relaxed structure of Sm2Dy12Sc5 at the PBE-GGA level of DFT.

Computed properties:
ΔH_f (0 K) (meV per atom): 146
Symmetry: C2/m

Cell lengths 8.7336, 9.1240, 8.2719 Å; angles 90.54, 90.00, 118.59 degrees
Positions (direct):
1 Dy 0.8231 0.2206 0.6154
2 Dy 0.6071 0.6256 0.7765
3 Dy 0.3929 0.3744 0.2235
4 Dy 0.3975 0.2206 0.6154
5 Dy 0.4460 0.8920 0.7163
6 Dy 0.1673 0.3346 0.8698
7 Dy 0.0185 0.6256 0.7765
8 Dy 0.9815 0.3744 0.2235
9 Dy 0.6025 0.7794 0.3846
10 Dy 0.5540 0.1080 0.2837
11 Dy 0.8327 0.6654 0.1302
12 Dy 0.1769 0.7794 0.3846
13 Sc 0.2483 0.4965 0.5452
14 Sc 0.7517 0.5035 0.4548
15 Sc 0.3534 0.7067 0.0580
16 Sc 0.0000 0.0000 0.5000
17 Sc 0.6466 0.2933 0.9420
18 Sm 0.7869 0.0000 0.0000
19 Sm 0.2131 0.0000 0.0000

Entry 14:
Computed, not measured: a relaxed structure of Sm2Dy5Sc12 at the PBE-GGA level of DFT.

Computed properties:
ΔH_f (0 K) (meV per atom): 138
Symmetry: C2/m

Cell lengths 8.6483, 11.6295, 8.1683 Å; angles 132.24, 90.00, 111.83 degrees
Positions (direct):
1 Sc 0.9743 0.3036 0.0540
2 Sc 0.5609 0.7443 0.4001
3 Sc 0.0851 0.1703 0.2918
4 Sc 0.4475 0.8949 0.2298
5 Sc 0.5525 0.1051 0.7702
6 Sc 0.3293 0.3036 0.0540
7 Sc 0.6707 0.6964 0.9460
8 Sc 0.1834 0.7443 0.4001
9 Sc 0.4391 0.2557 0.5999
10 Sc 0.8166 0.2557 0.5999
11 Sc 0.0257 0.6964 0.9460
12 Sc 0.9149 0.8297 0.7082
13 Dy 0.2946 0.5893 0.5968
14 Dy 0.7646 0.5293 0.1067
15 Dy 0.2354 0.4707 0.8933
16 Dy 0.0000 0.0000 0.5000
17 Dy 0.7054 0.4107 0.4032
18 Sm 0.3125 0.0000 0.0000
19 Sm 0.6875 0.0000 0.0000

Entry 15:
Computed, not measured: a relaxed structure of SmDy12Sc2 at the PBE-GGA level of DFT.

Computed properties:
ΔH_f (0 K) (meV per atom): 116
Symmetry: P2/m

Cell lengths 5.9934, 5.9934, 30.2250 Å; angles 75.86, 104.14, 72.77 degrees
Positions (direct):
1 Dy 0.2686 0.2314 0.8684
2 Dy 0.2165 0.7835 0.5526
3 Dy 0.7686 0.7314 0.8684
4 Dy 0.3457 0.6543 0.1968
5 Dy 0.2835 0.7165 0.4474
6 Dy 0.8457 0.1543 0.1968
7 Dy 0.2314 0.2686 0.1316
8 Dy 0.1543 0.8457 0.8032
9 Dy 0.0626 0.9374 0.3206
10 Dy 0.3830 0.6169 0.9333
11 Dy 0.3301 0.1699 0.6178
12 Dy 0.6543 0.3457 0.8032
13 Dy 0.6699 0.8301 0.3822
14 Dy 0.8831 0.1170 0.9333
15 Dy 0.5626 0.4374 0.3206
16 Dy 0.7835 0.2165 0.4474
17 Dy 0.6169 0.3830 0.0667
18 Dy 0.9374 0.0626 0.6794
19 Dy 0.8301 0.6699 0.6178
20 Dy 0.4374 0.5626 0.6794
21 Dy 0.1699 0.3301 0.3822
22 Dy 0.7314 0.7686 0.1316
23 Dy 0.7165 0.2835 0.5526
24 Dy 0.1170 0.8831 0.0667
25 Sc 0.5465 0.9535 0.7416
26 Sc 0.4535 0.0465 0.2584
27 Sc 0.0465 0.4535 0.7416
28 Sc 0.9535 0.5465 0.2584
29 Sm 0.0000 0.5000 0.0000
30 Sm 0.5000 0.0000 0.0000

Entry 16:
Computed, not measured: a relaxed structure of Sm3Dy4Sc at the PBE-GGA level of DFT.

Computed properties:
ΔH_f (0 K) (meV per atom): 129
Symmetry: Immm
Distance to the lowest polymorph of the same formula (meV/atom): 102

Cell lengths 3.4766, 11.5516, 8.7715 Å; angles 131.14, 101.43, 90.00 degrees
Positions (direct):
1 Sm 0.2393 0.2393 0.4786
2 Sm 0.0000 0.5000 0.0000
3 Sm 0.7607 0.7607 0.5214
4 Dy 0.6336 0.8912 0.2673
5 Dy 0.3664 0.1088 0.7327
6 Dy 0.3665 0.6238 0.7330
7 Dy 0.6335 0.3762 0.2670
8 Sc 0.5000 0.0000 0.0000

Entry 17:
Computed, not measured: a relaxed structure of SmDy3Sc2 at the PBE-GGA level of DFT.

Computed properties:
ΔH_f (0 K) (meV per atom): 296
Symmetry: Cmcm
Distance to the lowest polymorph of the same formula (meV/atom): 144

Cell lengths 5.4560, 8.6364, 8.6364 Å; angles 111.63, 90.00, 90.00 degrees
Positions (direct):
1 Dy 0.4930 0.1097 0.6297
2 Dy 0.9930 0.8903 0.3703
3 Dy 0.9930 0.3703 0.8903
4 Dy 0.9930 0.0947 0.0947
5 Dy 0.4930 0.6297 0.1097
6 Dy 0.4930 0.9053 0.9053
7 Sc 0.9930 0.3013 0.5141
8 Sc 0.9930 0.5141 0.3013
9 Sc 0.4930 0.4859 0.6987
10 Sc 0.4930 0.6987 0.4859
11 Sm 0.9930 0.7290 0.7290
12 Sm 0.4930 0.2710 0.2710

Entry 18:
Computed, not measured: a relaxed structure of Sm3Dy6Sc at the PBE-GGA level of DFT.

Computed properties:
ΔH_f (0 K) (meV per atom): 287
Symmetry: C2/m
Distance to the lowest polymorph of the same formula (meV/atom): 141

Cell lengths 8.4042, 8.8846, 6.2021 Å; angles 98.05, 132.65, 90.00 degrees
Positions (direct):
1 Dy 0.6164 0.8627 0.2329
2 Dy 0.3836 0.1373 0.7671
3 Dy 0.0653 0.6416 0.7616
4 Dy 0.9347 0.3584 0.2384
5 Dy 0.3037 0.3584 0.2384
6 Dy 0.6963 0.6416 0.7616
7 Sm 0.7821 0.2576 0.5642
8 Sm 0.0000 0.0000 0.0000
9 Sm 0.2179 0.7424 0.4358
10 Sc 0.5000 0.5000 0.0000